Density functional theory data (PBE-GGA) for a geometry-optimized Rb4Pa3FeS8 structure.

Magnetization (μB per atom): 0.432
E_form (uncorrected) (meV/atom): -1257

abc: 7.989 9.025 7.983
angles: 116.21 120.03 90.00
Each line ends with the local moment (μB).
Fractional coordinates of all 16 atoms:
Rb1 0.500 0.000 0.000  0.01
Rb2 0.500 0.000 0.500  0.00
Rb3 0.000 0.000 0.000  0.00
Rb4 0.000 0.000 0.500  0.00
Pa1 0.500 0.500 0.000  1.00
Pa2 0.500 0.500 0.500  0.99
Pa3 0.000 0.500 0.500  0.99
Fe1 0.000 0.500 0.000  3.07
S1 0.228 0.690 0.963  0.00
S2 0.227 0.690 0.454  0.00
S3 0.267 0.302 0.535  -0.03
S4 0.735 0.690 0.963  0.00
S5 0.265 0.310 0.037  0.00
S6 0.733 0.698 0.465  -0.03
S7 0.773 0.310 0.546  0.00
S8 0.772 0.310 0.037  0.00

---

Density functional theory data (PBE-GGA) for a geometry-optimized CaFeCo2 structure.

Magnetization (μB per atom): 1.353
Excess energy over the best structure of this formula in the dataset (eV/atom): 0.3167
DFT formation energy (eV/atom): 0.469

abc: 5.180 5.180 5.180
angles: 146.99 126.58 64.25
Each line ends with the local moment (μB).
Fractional coordinates of all 4 atoms:
Ca1 0.250 0.750 0.500  -0.11
Co1 0.969 0.969 0.000  1.63
Co2 0.531 0.531 0.000  1.63
Fe1 0.750 0.250 0.500  2.48

---

Density functional theory data (PBE-GGA) for a geometry-optimized Dy3Er2In3 structure.

Magnetization (μB per atom): 0.000
DFT formation energy (eV/atom): -0.364

abc: 3.749 5.322 11.571
angles: 103.29 99.32 90.00
Fractional coordinates of all 8 atoms:
Dy1 0.625 0.625 0.250
Dy2 0.375 0.375 0.750
Dy3 0.500 0.000 0.000
Er1 0.735 0.235 0.471
Er2 0.265 0.765 0.529
In1 0.120 0.120 0.240
In2 0.000 0.500 0.000
In3 0.880 0.880 0.760

---

Density functional theory data (PBE-GGA) for a geometry-optimized PrTiZn structure.

Magnetization (μB per atom): 0.000
DFT formation energy (eV/atom): 0.016

abc: 4.800 3.394 11.609
angles: 90.00 90.00 135.01
Fractional coordinates of all 6 atoms:
Zn1 0.695 0.389 0.000
Zn2 0.194 0.389 0.500
Ti1 0.694 0.389 0.382
Ti2 0.694 0.389 0.618
Pr1 0.194 0.389 0.813
Pr2 0.194 0.389 0.187

---

Density functional theory data (PBE-GGA) for a geometry-optimized LaPr5Dy6 structure.

Magnetization (μB per atom): 0.000
DFT formation energy (eV/atom): 0.018

abc: 5.184 10.132 9.606
angles: 121.83 105.66 90.00
Fractional coordinates of all 12 atoms:
Pr1 0.667 0.167 0.334
Pr2 0.333 0.333 0.666
Pr3 0.000 0.500 0.000
Pr4 0.667 0.667 0.334
Pr5 0.333 0.833 0.666
Dy1 0.833 0.583 0.666
Dy2 0.833 0.083 0.666
Dy3 0.500 0.749 0.000
Dy4 0.500 0.251 0.000
Dy5 0.167 0.917 0.334
Dy6 0.167 0.417 0.334
La1 0.000 0.000 0.000

---

Density functional theory data (PBE-GGA) for a geometry-optimized NaMnAg2W structure.

Magnetization (μB per atom): 0.313
DFT formation energy (eV/atom): 1.164

abc: 5.254 4.523 5.254
angles: 90.00 90.00 90.00
Each line ends with the local moment (μB).
Fractional coordinates of all 5 atoms:
Na1 0.500 0.500 0.500  0.00
Mn1 0.000 0.500 0.000  2.72
Ag1 0.000 0.000 0.500  -0.07
Ag2 0.500 0.000 0.000  -0.04
W1 0.000 0.000 0.000  -1.05

---

Density functional theory data (PBE-GGA) for a geometry-optimized MgNiSe structure.

Magnetization (μB per atom): 0.000
E_form (uncorrected) (meV/atom): -136

abc: 4.604 4.604 5.252
angles: 90.00 90.00 90.00
Fractional coordinates of all 6 atoms:
Ni1 0.000 0.500 0.349
Ni2 0.500 0.000 0.651
Mg1 0.000 0.500 0.862
Mg2 0.500 0.000 0.138
Se1 0.000 0.000 0.500
Se2 0.500 0.500 0.500

---

Density functional theory data (PBE-GGA) for a geometry-optimized GeMo2PtC structure.

Magnetization (μB per atom): 0.547
DFT formation energy (eV/atom): 1.815

abc: 4.830 3.582 4.830
angles: 90.00 90.00 90.00
Each line ends with the local moment (μB).
Fractional coordinates of all 5 atoms:
C1 0.000 0.500 0.000  -0.07
Mo1 0.000 0.000 0.500  1.25
Mo2 0.500 0.000 0.000  1.05
Ge1 0.000 0.000 0.000  0.02
Pt1 0.500 0.500 0.500  0.18

---

Density functional theory data (PBE-GGA) for a geometry-optimized LaYOs2 structure.

Magnetization (μB per atom): 0.014
Excess energy over the best structure of this formula in the dataset (eV/atom): 0.8013
DFT formation energy (eV/atom): 0.705

abc: 10.743 10.743 10.743
angles: 16.25 16.25 16.25
Each line ends with the local moment (μB).
Fractional coordinates of all 4 atoms:
La1 0.738 0.738 0.738  -0.05
Os1 0.988 0.988 0.988  0.00
Os2 0.260 0.260 0.260  0.01
Y1 0.514 0.514 0.514  0.01

---

Density functional theory data (PBE-GGA) for a geometry-optimized AlFeSb2 structure.

Magnetization (μB per atom): 0.372
E_form (uncorrected) (meV/atom): 241

abc: 6.673 6.673 6.673
angles: 152.97 142.81 46.58
Each line ends with the local moment (μB).
Fractional coordinates of all 4 atoms:
Sb1 0.061 0.061 0.000  -0.03
Sb2 0.768 0.268 0.500  0.00
Fe1 0.242 0.742 0.500  1.54
Al1 0.428 0.428 0.000  0.00

---

Density functional theory data (PBE-GGA) for a geometry-optimized MoPt2Pb structure.

Magnetization (μB per atom): 0.230
DFT formation energy (eV/atom): 0.223

abc: 5.118 5.118 5.118
angles: 132.86 132.86 68.88
Each line ends with the local moment (μB).
Fractional coordinates of all 4 atoms:
Mo1 0.750 0.250 0.500  0.80
Pb1 0.250 0.750 0.500  -0.02
Pt1 0.000 0.000 0.000  0.03
Pt2 0.500 0.500 0.000  0.03

---

Density functional theory data (PBE-GGA) for a geometry-optimized BaCaCr2As structure.

Magnetization (μB per atom): 1.419
Excess energy over the best structure of this formula in the dataset (eV/atom): 1.3375
DFT formation energy (eV/atom): 1.805

abc: 5.044 5.796 5.044
angles: 90.00 90.00 90.00
Each line ends with the local moment (μB).
Fractional coordinates of all 5 atoms:
Cr1 0.000 0.000 0.500  3.11
Cr2 0.500 0.000 0.000  3.64
As1 0.500 0.500 0.500  -0.01
Ca1 0.000 0.500 0.000  -0.09
Ba1 0.000 0.000 0.000  -0.12

---

Density functional theory data (PBE-GGA) for a geometry-optimized Pu4Sb3As structure.

Magnetization (μB per atom): 0.003
Excess energy over the best structure of this formula in the dataset (eV/atom): 0.0328
E_form (uncorrected) (meV/atom): -630

abc: 6.167 6.167 7.535
angles: 114.15 114.15 90.00
Each line ends with the local moment (μB).
Fractional coordinates of all 8 atoms:
Pu1 0.760 0.760 0.521  -5.16
Pu2 0.240 0.240 0.479  -5.16
Pu3 0.500 0.000 0.000  5.17
Pu4 0.000 0.500 0.000  5.17
Sb1 0.500 0.500 0.000  -0.04
Sb2 0.750 0.250 0.500  0.04
Sb3 0.250 0.750 0.500  0.04
As1 0.000 0.000 0.000  -0.03

---

Density functional theory data (PBE-GGA) for a geometry-optimized Y2Zr2Au structure.

Magnetization (μB per atom): 0.000
Excess energy over the best structure of this formula in the dataset (eV/atom): 0.0000
DFT formation energy (eV/atom): -0.054

abc: 7.240 7.240 5.024
angles: 90.00 90.00 90.00
Fractional coordinates of all 10 atoms:
Y1 0.162 0.662 0.500
Y2 0.662 0.838 0.500
Y3 0.838 0.338 0.500
Y4 0.338 0.162 0.500
Au1 0.000 0.000 0.000
Au2 0.500 0.500 0.000
Zr1 0.358 0.858 0.000
Zr2 0.858 0.642 0.000
Zr3 0.642 0.142 0.000
Zr4 0.142 0.358 0.000

---

Density functional theory data (PBE-GGA) for a geometry-optimized Th2Si3NiPt12 structure.

Magnetization (μB per atom): 0.000
E_form (uncorrected) (meV/atom): -535

abc: 7.689 7.689 7.689
angles: 64.44 64.44 64.44
Fractional coordinates of all 18 atoms:
Th1 0.622 0.622 0.622
Th2 0.378 0.378 0.378
Si1 0.500 0.000 0.000
Si2 0.000 0.500 0.000
Si3 0.000 0.000 0.500
Ni1 0.000 0.000 0.000
Pt1 0.360 0.360 0.890
Pt2 0.874 0.874 0.369
Pt3 0.369 0.874 0.874
Pt4 0.890 0.360 0.360
Pt5 0.874 0.369 0.874
Pt6 0.360 0.890 0.360
Pt7 0.640 0.640 0.110
Pt8 0.126 0.126 0.631
Pt9 0.631 0.126 0.126
Pt10 0.110 0.640 0.640
Pt11 0.126 0.631 0.126
Pt12 0.640 0.110 0.640

---

Density functional theory data (PBE-GGA) for a geometry-optimized SbRuRh structure.

Magnetization (μB per atom): 0.000
Excess energy over the best structure of this formula in the dataset (eV/atom): 0.0000
E_form (uncorrected) (meV/atom): -41

abc: 4.020 4.020 6.408
angles: 90.00 90.00 90.00
Fractional coordinates of all 6 atoms:
Rh1 0.000 0.500 0.791
Rh2 0.500 0.000 0.209
Sb1 0.000 0.500 0.204
Sb2 0.500 0.000 0.796
Ru1 0.500 0.500 0.500
Ru2 0.000 0.000 0.500

---

Density functional theory data (PBE-GGA) for a geometry-optimized PmCdIn6 structure.

Magnetization (μB per atom): 0.000
DFT formation energy (eV/atom): -0.157

abc: 4.413 6.888 6.888
angles: 90.06 90.00 90.00
Fractional coordinates of all 8 atoms:
Pm1 0.500 0.000 0.000
Cd1 0.500 0.500 0.500
In1 0.000 0.740 0.260
In2 0.000 0.260 0.740
In3 0.000 0.739 0.739
In4 0.000 0.261 0.261
In5 0.500 0.500 0.000
In6 0.500 0.000 0.500

---

Density functional theory data (PBE-GGA) for a geometry-optimized Ce2SiSe6 structure.

Magnetization (μB per atom): 0.026
E_form (uncorrected) (meV/atom): -960

abc: 6.322 6.322 12.690
angles: 90.00 90.00 90.00
Each line ends with the local moment (μB).
Fractional coordinates of all 18 atoms:
Ce1 0.000 0.000 0.334  -0.13
Ce2 0.500 0.500 0.834  -0.13
Ce3 0.500 0.500 0.166  -0.13
Ce4 0.000 0.000 0.666  -0.13
Si1 0.000 0.000 0.000  -0.01
Si2 0.500 0.500 0.500  -0.01
Se1 0.318 0.318 0.354  0.01
Se2 0.682 0.682 0.354  0.01
Se3 0.182 0.818 0.854  0.01
Se4 0.818 0.182 0.854  0.01
Se5 0.182 0.818 0.146  0.01
Se6 0.818 0.182 0.146  0.01
Se7 0.318 0.318 0.646  0.01
Se8 0.682 0.682 0.646  0.01
Se9 0.285 0.285 0.000  0.01
Se10 0.715 0.715 0.000  0.01
Se11 0.215 0.785 0.500  0.01
Se12 0.785 0.215 0.500  0.01

---

Density functional theory data (PBE-GGA) for a geometry-optimized AcSmZnBi structure.

Magnetization (μB per atom): 0.000
DFT formation energy (eV/atom): -0.414

abc: 5.577 5.577 5.577
angles: 60.00 60.00 60.00
Fractional coordinates of all 4 atoms:
Zn1 0.000 0.000 0.000
Ac1 0.750 0.750 0.750
Bi1 0.500 0.500 0.500
Sm1 0.250 0.250 0.250

---

Density functional theory data (PBE-GGA) for a geometry-optimized Cs3In5F12 structure.

Magnetization (μB per atom): 0.000
E_form (uncorrected) (meV/atom): -2373

abc: 13.473 13.473 13.473
angles: 109.47 109.47 109.47
Fractional coordinates of all 80 atoms:
Cs1 0.750 0.375 0.125
Cs2 0.875 0.750 0.125
Cs3 0.375 0.750 0.625
Cs4 0.250 0.125 0.375
Cs5 0.875 0.125 0.250
Cs6 0.375 0.625 0.250
Cs7 0.625 0.375 0.750
Cs8 0.125 0.875 0.750
Cs9 0.750 0.875 0.625
Cs10 0.625 0.250 0.375
Cs11 0.125 0.250 0.875
Cs12 0.250 0.625 0.875
In1 0.125 0.375 0.250
In2 0.000 0.500 0.000
In3 0.000 0.000 0.000
In4 0.375 0.250 0.125
In5 0.500 0.000 0.500
In6 0.500 0.500 0.000
In7 0.125 0.750 0.375
In8 0.750 0.125 0.875
In9 0.750 0.625 0.375
In10 0.375 0.125 0.750
In11 0.625 0.875 0.250
In12 0.500 0.500 0.500
In13 0.500 0.000 0.000
In14 0.000 0.000 0.500
In15 0.250 0.375 0.625
In16 0.250 0.875 0.125
In17 0.000 0.500 0.500
In18 0.875 0.250 0.625
In19 0.625 0.750 0.875
In20 0.875 0.625 0.750
F1 0.671 0.099 0.017
F2 0.346 0.517 0.418
F3 0.983 0.401 0.329
F4 0.517 0.171 0.099
F5 0.572 0.671 0.654
F6 0.983 0.582 0.154
F7 0.346 0.829 0.428
F8 0.082 0.928 0.099
F9 0.582 0.983 0.654
F10 0.671 0.572 0.154
F11 0.829 0.483 0.401
F12 0.846 0.918 0.017
F13 0.099 0.671 0.517
F14 0.401 0.418 0.072
F15 0.072 0.918 0.401
F16 0.428 0.099 0.582
F17 0.072 0.154 0.171
F18 0.483 0.654 0.082
F19 0.846 0.928 0.329
F20 0.099 0.428 0.082
F21 0.401 0.983 0.829
F22 0.582 0.599 0.428
F23 0.918 0.846 0.517
F24 0.829 0.346 0.928
F25 0.418 0.401 0.572
F26 0.082 0.154 0.483
F27 0.171 0.654 0.072
F28 0.154 0.072 0.671
F29 0.599 0.017 0.171
F30 0.901 0.572 0.918
F31 0.517 0.346 0.918
F32 0.572 0.901 0.418
F33 0.928 0.846 0.829
F34 0.928 0.082 0.599
F35 0.901 0.329 0.483
F36 0.154 0.082 0.983
F37 0.599 0.582 0.928
F38 0.418 0.017 0.346
F39 0.329 0.428 0.846
F40 0.171 0.517 0.599
F41 0.918 0.072 0.901
F42 0.654 0.171 0.572
F43 0.483 0.829 0.901
F44 0.017 0.418 0.846
F45 0.428 0.329 0.346
F46 0.017 0.599 0.671
F47 0.654 0.483 0.582
F48 0.329 0.901 0.983

---

Density functional theory data (PBE-GGA) for a geometry-optimized MnSb2TeC structure.

Magnetization (μB per atom): 0.026
Excess energy over the best structure of this formula in the dataset (eV/atom): 0.0000
E_form (uncorrected) (meV/atom): 1426

abc: 4.683 4.683 4.591
angles: 90.00 90.00 90.00
Each line ends with the local moment (μB).
Fractional coordinates of all 5 atoms:
Sb1 0.000 0.500 0.000  0.03
Sb2 0.500 0.000 0.000  0.03
C1 0.000 0.000 0.000  0.02
Te1 0.000 0.000 0.500  0.01
Mn1 0.500 0.500 0.500  -0.31